ZnPtSe2Br | PBE-GGA | optimized geometry

```
data_ZnPtSe2Br
_chemical_formula_sum 'Zn1 Pt1 Se2 Br1'
_cell_length_a 4.935
_cell_length_b 4.935
_cell_length_c 4.851
_cell_angle_alpha 90.00
_cell_angle_beta 90.00
_cell_angle_gamma 90.00
_space_group_name_H-M_alt 'P 4/m m m'
_space_group_IT_number 123
_space_group_name_Hall '-P 4 2'
loop_
_atom_site_label
_atom_site_type_symbol
_atom_site_fract_x
_atom_site_fract_y
_atom_site_fract_z
Zn1 Zn 0.000 0.000 0.000
Pt1 Pt 0.500 0.500 0.500
Se1 Se 0.000 0.500 0.000
Br1 Br 0.000 0.000 0.500
```

Computed properties:
Calculated total energy (eV per atom): -2.39
Theoretical density (g cm⁻³): 7.0
Energy above the lowest structure with this stoichiometry (kJ/mol of formula units): 210.2
Formation energy without anion corrections (eV/atom): 0.797

---

SrAs3Br | PBE-GGA | optimized geometry

```
data_SrAs3Br
_chemical_formula_sum 'Sr1 As3 Br1'
_cell_length_a 5.197
_cell_length_b 5.197
_cell_length_c 5.197
_cell_angle_alpha 90.00
_cell_angle_beta 90.00
_cell_angle_gamma 90.00
_space_group_name_H-M_alt 'P m -3 m'
_space_group_IT_number 221
_space_group_name_Hall '-P 4 2 3'
loop_
_atom_site_label
_atom_site_type_symbol
_atom_site_fract_x
_atom_site_fract_y
_atom_site_fract_z
Sr1 Sr 0.000 0.000 0.000
As1 As 0.000 0.500 0.500
Br1 Br 0.500 0.500 0.500
```

Computed properties:
Calculated total energy (eV per atom): -3.12
Theoretical density (g cm⁻³): 4.6
Energy above the lowest structure with this stoichiometry (kJ/mol of formula units): 0.0
Formation energy without anion corrections (eV/atom): 0.337

---

MgOs | PBE-GGA | optimized geometry

```
data_MgOs
_chemical_formula_sum 'Mg4 Os4'
_cell_length_a 2.879
_cell_length_b 10.612
_cell_length_c 4.404
_cell_angle_alpha 90.00
_cell_angle_beta 90.00
_cell_angle_gamma 90.00
_space_group_name_H-M_alt 'C m c m'
_space_group_IT_number 63
_space_group_name_Hall '-C 2c 2'
loop_
_atom_site_label
_atom_site_type_symbol
_atom_site_fract_x
_atom_site_fract_y
_atom_site_fract_z
Mg1 Mg 0.000 0.176 0.250
Os1 Os 0.000 0.448 0.250
```

Computed properties:
Formation enthalpy at 0 K (meV per atom): 306
Calculated total energy (eV per atom): -6.11
Theoretical density (g cm⁻³): 10.6

---

LaPrTl2 | PBE-GGA | optimized geometry

```
data_LaPrTl2
_chemical_formula_sum 'La1 Pr1 Tl2'
_cell_length_a 3.958
_cell_length_b 3.958
_cell_length_c 7.916
_cell_angle_alpha 90.00
_cell_angle_beta 90.00
_cell_angle_gamma 90.00
_space_group_name_H-M_alt 'P 4/m m m'
_space_group_IT_number 123
_space_group_name_Hall '-P 4 2'
loop_
_atom_site_label
_atom_site_type_symbol
_atom_site_fract_x
_atom_site_fract_y
_atom_site_fract_z
La1 La 0.000 0.000 0.000
Pr1 Pr 0.000 0.000 0.500
Tl1 Tl 0.500 0.500 0.256
```

Computed properties:
Formation enthalpy at 0 K (meV per atom): -411
Calculated total energy (eV per atom): -4.02
Theoretical density (g cm⁻³): 9.2
Energy above the lowest structure with this stoichiometry (kJ/mol of formula units): 0.0

---

YCr2Br | PBE-GGA | optimized geometry

```
data_YCr2Br
_chemical_formula_sum 'Y2 Cr4 Br2'
_cell_length_a 3.327
_cell_length_b 5.020
_cell_length_c 10.330
_cell_angle_alpha 90.00
_cell_angle_beta 90.00
_cell_angle_gamma 90.00
_space_group_name_H-M_alt 'I m m m'
_space_group_IT_number 71
_space_group_name_Hall '-I 2 2'
loop_
_atom_site_label
_atom_site_type_symbol
_atom_site_fract_x
_atom_site_fract_y
_atom_site_fract_z
Y1 Y 0.000 0.000 0.000
Cr1 Cr 0.000 0.500 0.238
Br1 Br 0.000 0.000 0.500
```

Computed properties:
Calculated total energy (eV per atom): -6.45
Theoretical density (g cm⁻³): 5.3
Energy above the lowest structure with this stoichiometry (kJ/mol of formula units): 146.1
Formation energy without anion corrections (eV/atom): 0.397

---

Tb3Pr4Y8 | PBE-GGA | optimized geometry

```
data_Tb3Pr4Y8
_chemical_formula_sum 'Tb6 Pr8 Y16'
_cell_length_a 13.572
_cell_length_b 12.930
_cell_length_c 6.817
_cell_angle_alpha 90.00
_cell_angle_beta 120.03
_cell_angle_gamma 90.00
_space_group_name_H-M_alt 'C 1 2/m 1'
_space_group_IT_number 12
_space_group_name_Hall '-C 2y'
loop_
_atom_site_label
_atom_site_type_symbol
_atom_site_fract_x
_atom_site_fract_y
_atom_site_fract_z
Tb1 Tb 0.000 0.000 0.000
Tb2 Tb 0.250 0.250 0.500
Pr1 Pr 0.000 0.500 0.000
Pr2 Pr 0.000 0.500 0.500
Pr3 Pr 0.250 0.250 0.000
Y1 Y 0.000 0.140 0.500
Y2 Y 0.000 0.245 0.000
Y3 Y 0.230 0.000 0.965
Y4 Y 0.233 0.000 0.488
```

Computed properties:
Formation enthalpy at 0 K (meV per atom): 358
Calculated total energy (eV per atom): -5.29
Theoretical density (g cm⁻³): 5.6
Energy above the lowest structure with this stoichiometry (kJ/mol of formula units): 344.9

---

Re2MoP | PBE-GGA | optimized geometry

```
data_Re2MoP
_chemical_formula_sum 'Re2 Mo1 P1'
_cell_length_a 4.336
_cell_length_b 4.336
_cell_length_c 3.071
_cell_angle_alpha 90.00
_cell_angle_beta 90.00
_cell_angle_gamma 90.00
_space_group_name_H-M_alt 'P 4/m m m'
_space_group_IT_number 123
_space_group_name_Hall '-P 4 2'
loop_
_atom_site_label
_atom_site_type_symbol
_atom_site_fract_x
_atom_site_fract_y
_atom_site_fract_z
Re1 Re 0.000 0.500 0.000
Mo1 Mo 0.000 0.000 0.500
P1 P 0.500 0.500 0.500
```

Computed properties:
Formation enthalpy at 0 K (meV per atom): 213
Calculated total energy (eV per atom): -10.07
Theoretical density (g cm⁻³): 14.4

---

Ti20Sb9Se3 | PBE-GGA | optimized geometry

```
data_Ti20Sb9Se3
_chemical_formula_sum 'Ti40 Sb18 Se6'
_cell_length_a 16.646
_cell_length_b 6.972
_cell_length_c 10.102
_cell_angle_alpha 90.00
_cell_angle_beta 90.00
_cell_angle_gamma 90.00
_space_group_name_H-M_alt 'P m n 21'
_space_group_IT_number 31
_space_group_name_Hall 'P 2ac -2'
loop_
_atom_site_label
_atom_site_type_symbol
_atom_site_fract_x
_atom_site_fract_y
_atom_site_fract_z
Ti1 Ti 0.000 0.054 0.032
Ti2 Ti 0.000 0.223 0.771
Ti3 Ti 0.000 0.422 0.496
Ti4 Ti 0.000 0.593 0.985
Ti5 Ti 0.000 0.762 0.265
Ti6 Ti 0.000 0.927 0.550
Ti7 Ti 0.097 0.562 0.722
Ti8 Ti 0.105 0.447 0.223
Ti9 Ti 0.151 0.942 0.826
Ti10 Ti 0.159 0.059 0.328
Ti11 Ti 0.248 0.907 0.566
Ti12 Ti 0.249 0.279 0.779
Ti13 Ti 0.249 0.426 0.500
Sb1 Sb 0.000 0.159 0.297
Sb2 Sb 0.120 0.316 0.954
Sb3 Sb 0.121 0.687 0.451
Sb4 Sb 0.129 0.185 0.597
Sb5 Sb 0.132 0.817 0.097
Se1 Se 0.000 0.838 0.800
Se2 Se 0.247 0.663 0.754
```

Computed properties:
Calculated total energy (eV per atom): -7.02
Theoretical density (g cm⁻³): 6.5
Formation energy without anion corrections (eV/atom): -0.596

---

Mn2OsCl | PBE-GGA | optimized geometry

```
data_Mn2OsCl
_chemical_formula_sum 'Mn4 Os2 Cl2'
_cell_length_a 2.910
_cell_length_b 4.756
_cell_length_c 9.337
_cell_angle_alpha 90.00
_cell_angle_beta 90.00
_cell_angle_gamma 90.00
_space_group_name_H-M_alt 'C m m 2'
_space_group_IT_number 35
_space_group_name_Hall 'C 2 -2'
loop_
_atom_site_label
_atom_site_type_symbol
_atom_site_fract_x
_atom_site_fract_y
_atom_site_fract_z
Mn1 Mn 0.000 0.000 0.000
Mn2 Mn 0.000 0.500 0.227
Os1 Os 0.000 0.500 0.789
Cl1 Cl 0.000 0.000 0.418
```

Computed properties:
Calculated total energy (eV per atom): -7.37
Theoretical density (g cm⁻³): 8.6
Energy above the lowest structure with this stoichiometry (kJ/mol of formula units): 157.1
Formation energy without anion corrections (eV/atom): 0.488

---

BeAsOF2 | PBE-GGA | optimized geometry

```
data_BeAsOF2
_chemical_formula_sum 'Be1 As1 O1 F2'
_cell_length_a 4.271
_cell_length_b 4.271
_cell_length_c 3.929
_cell_angle_alpha 90.00
_cell_angle_beta 90.00
_cell_angle_gamma 90.00
_space_group_name_H-M_alt 'P 4/m m m'
_space_group_IT_number 123
_space_group_name_Hall '-P 4 2'
loop_
_atom_site_label
_atom_site_type_symbol
_atom_site_fract_x
_atom_site_fract_y
_atom_site_fract_z
Be1 Be 0.000 0.000 0.000
As1 As 0.500 0.500 0.500
O1 O 0.500 0.500 0.000
F1 F 0.000 0.500 0.500
```

Computed properties:
Calculated total energy (eV per atom): -4.01
Theoretical density (g cm⁻³): 3.2
Energy above the lowest structure with this stoichiometry (kJ/mol of formula units): 497.8
Formation energy without anion corrections (eV/atom): -0.596

---

K2LaBr | PBE-GGA | optimized geometry

```
data_K2LaBr
_chemical_formula_sum 'K2 La1 Br1'
_cell_length_a 3.775
_cell_length_b 3.775
_cell_length_c 11.953
_cell_angle_alpha 90.00
_cell_angle_beta 90.00
_cell_angle_gamma 90.00
_space_group_name_H-M_alt 'P 4 m m'
_space_group_IT_number 99
_space_group_name_Hall 'P 4 -2'
loop_
_atom_site_label
_atom_site_type_symbol
_atom_site_fract_x
_atom_site_fract_y
_atom_site_fract_z
K1 K 0.000 0.000 0.000
K2 K 0.500 0.500 0.337
La1 La 0.000 0.000 0.635
Br1 Br 0.500 0.500 0.804
```

Computed properties:
Calculated total energy (eV per atom): -2.68
Theoretical density (g cm⁻³): 2.9
Energy above the lowest structure with this stoichiometry (kJ/mol of formula units): 30.5
Formation energy without anion corrections (eV/atom): -0.478

---

RbCoC3 | PBE-GGA | optimized geometry

```
data_RbCoC3
_chemical_formula_sum 'Rb1 Co1 C3'
_cell_length_a 4.016
_cell_length_b 4.016
_cell_length_c 4.016
_cell_angle_alpha 90.00
_cell_angle_beta 90.00
_cell_angle_gamma 90.00
_space_group_name_H-M_alt 'P m -3 m'
_space_group_IT_number 221
_space_group_name_Hall '-P 4 2 3'
loop_
_atom_site_label
_atom_site_type_symbol
_atom_site_fract_x
_atom_site_fract_y
_atom_site_fract_z
Rb1 Rb 0.000 0.000 0.000
Co1 Co 0.500 0.500 0.500
C1 C 0.000 0.500 0.500
```

Computed properties:
Formation enthalpy at 0 K (meV per atom): 2249
Calculated total energy (eV per atom): -4.90
Theoretical density (g cm⁻³): 4.6
Energy above the lowest structure with this stoichiometry (kJ/mol of formula units): 0.0

---

CsNpBrCl3 | PBE-GGA | optimized geometry

```
data_CsNpBrCl3
_chemical_formula_sum 'Cs4 Np4 Br4 Cl12'
_cell_length_a 6.961
_cell_length_b 25.774
_cell_length_c 7.375
_cell_angle_alpha 90.00
_cell_angle_beta 90.00
_cell_angle_gamma 90.00
_space_group_name_H-M_alt 'C m c m'
_space_group_IT_number 63
_space_group_name_Hall '-C 2c 2'
loop_
_atom_site_label
_atom_site_type_symbol
_atom_site_fract_x
_atom_site_fract_y
_atom_site_fract_z
Cs1 Cs 0.000 0.242 0.250
Np1 Np 0.000 0.466 0.750
Br1 Br 0.000 0.213 0.750
Cl1 Cl 0.000 0.369 0.750
Cl2 Cl 0.247 0.000 0.000
```

Computed properties:
Calculated total energy (eV per atom): -5.09
Theoretical density (g cm⁻³): 2.8
Formation energy without anion corrections (eV/atom): -1.589

---

LaIr3 | PBE-GGA | optimized geometry

```
data_LaIr3
_chemical_formula_sum 'La9 Ir27'
_cell_length_a 5.4094
_cell_length_b 5.4094
_cell_length_c 26.7209
_cell_angle_alpha 90.00
_cell_angle_beta 90.00
_cell_angle_gamma 120.00
_space_group_name_H-M_alt 'R -3 m'
_space_group_IT_number 166
_space_group_name_Hall '-R 3 2"'
loop_
_atom_site_label
_atom_site_type_symbol
_atom_site_fract_x
_atom_site_fract_y
_atom_site_fract_z
La1 La 0.0000 0.0000 0.0000
La2 La 0.0000 0.0000 0.1396
Ir1 Ir 0.0000 0.0000 0.3317
Ir2 Ir 0.0000 0.0000 0.5000
Ir3 Ir 0.0044 0.5022 0.0802
```

Computed properties:
Formation enthalpy at 0 K (meV per atom): -532
Calculated total energy (eV per atom): -8.41
Theoretical density (g cm⁻³): 15.8

---

ScBeTeI2 | PBE-GGA | optimized geometry

```
data_ScBeTeI2
_chemical_formula_sum 'Sc1 Be1 Te1 I2'
_cell_length_a 5.660
_cell_length_b 5.660
_cell_length_c 5.755
_cell_angle_alpha 90.00
_cell_angle_beta 90.00
_cell_angle_gamma 90.00
_space_group_name_H-M_alt 'P 4/m m m'
_space_group_IT_number 123
_space_group_name_Hall '-P 4 2'
loop_
_atom_site_label
_atom_site_type_symbol
_atom_site_fract_x
_atom_site_fract_y
_atom_site_fract_z
Sc1 Sc 0.000 0.000 0.000
Be1 Be 0.500 0.500 0.500
Te1 Te 0.000 0.000 0.500
I1 I 0.000 0.500 0.000
```

Computed properties:
Calculated total energy (eV per atom): -3.20
Theoretical density (g cm⁻³): 3.9
Energy above the lowest structure with this stoichiometry (kJ/mol of formula units): 15.9
Formation energy without anion corrections (eV/atom): 0.060

---

NaSiCl3 | PBE-GGA | optimized geometry

```
data_NaSiCl3
_chemical_formula_sum 'Na1 Si1 Cl3'
_cell_length_a 5.066
_cell_length_b 5.066
_cell_length_c 5.066
_cell_angle_alpha 90.00
_cell_angle_beta 90.00
_cell_angle_gamma 90.00
_space_group_name_H-M_alt 'P m -3 m'
_space_group_IT_number 221
_space_group_name_Hall '-P 4 2 3'
loop_
_atom_site_label
_atom_site_type_symbol
_atom_site_fract_x
_atom_site_fract_y
_atom_site_fract_z
Na1 Na 0.000 0.000 0.000
Si1 Si 0.500 0.500 0.500
Cl1 Cl 0.000 0.500 0.500
```

Computed properties:
Calculated total energy (eV per atom): -3.39
Theoretical density (g cm⁻³): 2.0
Formation energy without anion corrections (eV/atom): -0.934

---

La8Nd4Mg | PBE-GGA | optimized geometry

```
data_La8Nd4Mg
_chemical_formula_sum 'La24 Nd12 Mg3'
_cell_length_a 11.8369
_cell_length_b 11.8369
_cell_length_c 11.9305
_cell_angle_alpha 90.00
_cell_angle_beta 90.00
_cell_angle_gamma 120.00
_space_group_name_H-M_alt 'R -3 m'
_space_group_IT_number 166
_space_group_name_Hall '-R 3 2"'
loop_
_atom_site_label
_atom_site_type_symbol
_atom_site_fract_x
_atom_site_fract_y
_atom_site_fract_z
La1 La 0.0000 0.0000 0.2379
La2 La 0.0021 0.5011 0.3303
Nd1 Nd 0.0000 0.0000 0.0000
Nd2 Nd 0.0000 0.5000 0.0000
Mg1 Mg 0.0000 0.0000 0.5000
```

Computed properties:
Formation enthalpy at 0 K (meV per atom): 336
Calculated total energy (eV per atom): -4.29
Theoretical density (g cm⁻³): 5.9

---

Na3Cd8 | PBE-GGA | optimized geometry

```
data_Na3Cd8
_chemical_formula_sum 'Na6 Cd16'
_cell_length_a 9.066
_cell_length_b 4.995
_cell_length_c 11.917
_cell_angle_alpha 90.00
_cell_angle_beta 107.35
_cell_angle_gamma 90.00
_space_group_name_H-M_alt 'C 1 2/m 1'
_space_group_IT_number 12
_space_group_name_Hall '-C 2y'
loop_
_atom_site_label
_atom_site_type_symbol
_atom_site_fract_x
_atom_site_fract_y
_atom_site_fract_z
Na1 Na 0.000 0.000 0.000
Na2 Na 0.039 0.500 0.641
Cd1 Cd 0.103 0.000 0.270
Cd2 Cd 0.138 0.500 0.914
Cd3 Cd 0.175 0.000 0.536
Cd4 Cd 0.239 0.500 0.186
```

Computed properties:
Formation enthalpy at 0 K (meV per atom): -76
Calculated total energy (eV per atom): -1.10
Theoretical density (g cm⁻³): 6.2